Compound: Gd2ErAg
Source: the Alexandria database
Functional: GGA-PBE
Structure: optimized geometry

- density (Mg/m³) = 8.8
- total energy (eV/atom) = -8.913
- energy relative to the elements (eV per atom) = -0.019
- V (Å³/cell) = 110.69
- polymorph energy (0 for the lowest one) (eV per atom) = 0.098
- symmetry = P4/mmm
- DOS(E_F) (states/eV/f.u.) = 4.7
- total magnetic moment (μB per cell) = 15.05

Cell lengths 3.731, 5.447, 5.447 Å; angles 90.00, 90.00, 90.00 degrees
Fractional positions:
Ag  0.500  0.000  0.000
Er  0.500  0.500  0.500
Gd  0.000  0.500  0.000
Gd  0.000  0.000  0.500

---

Compound: ZrTe2Mo
Source: the Alexandria database
Functional: GGA-PBE
Structure: optimized geometry

- energy relative to the elements, uncorrected (eV per atom) = -0.026
- density (Mg/m³) = 8.4
- total energy (eV/atom) = -6.442
- V (Å³/cell) = 87.92
- polymorph energy (0 for the lowest one) (eV per atom) = 0.290
- symmetry = C2/m
- DOS(E_F) (states/eV/f.u.) = 4.3
- total magnetic moment (μB per cell) = 0.00

Cell lengths 4.582, 4.582, 6.110 Å; angles 78.22, 78.22, 44.65 degrees
Fractional positions:
Zr  0.750  0.750  0.750
Te  0.505  0.505  0.477
Te  0.995  0.995  0.023
Mo  0.250  0.250  0.250

---

Compound: HPb
Source: the Alexandria database
Functional: GGA-PBE
Structure: optimized geometry

- density (Mg/m³) = 9.1
- total energy (eV/atom) = -3.171
- V (Å³/cell) = 227.29
- polymorph energy (0 for the lowest one) (eV per atom) = 0.004
- symmetry = Pmn2_1
- DOS(E_F) (states/eV/f.u.) = 0.5
- total magnetic moment (μB per cell) = 0.00

Cell lengths 11.298, 3.425, 5.874 Å; angles 90.00, 90.00, 90.00 degrees
Fractional positions:
H  0.878  0.378  0.624
H  0.378  0.622  0.124
H  0.622  0.622  0.124
H  0.000  0.967  0.332
H  0.122  0.378  0.624
H  0.500  0.033  0.832
Pb  0.834  0.199  0.285
Pb  0.666  0.801  0.785
Pb  0.500  0.415  0.352
Pb  0.166  0.199  0.285
Pb  0.334  0.801  0.785
Pb  0.000  0.585  0.852

---

Compound: TaAg3I2F6
Source: the Alexandria database
Functional: GGA-PBE
Structure: optimized geometry

- energy relative to the elements, uncorrected (eV per atom) = -1.918
- density (Mg/m³) = 5.2
- total energy (eV/atom) = -4.813
- V (Å³/cell) = 279.48
- symmetry = C2/m
- DOS(E_F) (states/eV/f.u.) = 0.0
- total magnetic moment (μB per cell) = 0.00

Cell lengths 5.100, 7.565, 8.229 Å; angles 117.36, 96.78, 90.00 degrees
Fractional positions:
F  0.730  0.240  0.115
F  0.270  0.760  0.885
F  0.730  0.876  0.115
F  0.270  0.124  0.885
F  0.688  0.893  0.787
F  0.312  0.107  0.213
I  0.860  0.313  0.626
I  0.140  0.687  0.374
Ag  0.500  0.500  0.500
Ag  0.500  0.000  0.500
Ag  0.000  0.500  0.000
Ta  0.500  0.000  0.000

---

Compound: Y2CrPb2
Source: the Alexandria database
Functional: GGA-PBE
Structure: optimized geometry

- density (Mg/m³) = 8.0
- total energy (eV/atom) = -6.169
- energy relative to the elements (eV per atom) = -0.176
- V (Å³/cell) = 266.13
- symmetry = P4/mbm
- DOS(E_F) (states/eV/f.u.) = 2.2
- total magnetic moment (μB per cell) = 7.70

Cell lengths 7.520, 7.520, 4.706 Å; angles 90.00, 90.00, 90.00 degrees
Fractional positions:
Y  0.170  0.670  0.500
Y  0.830  0.330  0.500
Y  0.670  0.830  0.500
Y  0.330  0.170  0.500
Pb  0.857  0.643  0.000
Pb  0.357  0.857  0.000
Pb  0.143  0.357  0.000
Pb  0.643  0.143  0.000
Cr  0.500  0.500  0.000
Cr  0.000  0.000  0.000

---

Compound: Co2NiMo
Source: the Alexandria database
Functional: GGA-PBE
Structure: optimized geometry

- density (Mg/m³) = 9.4
- total energy (eV/atom) = -7.612
- energy relative to the elements (eV per atom) = 0.094
- V (Å³/cell) = 48.26
- polymorph energy (0 for the lowest one) (eV per atom) = 0.106
- symmetry = Cm
- DOS(E_F) (states/eV/f.u.) = 4.5
- total magnetic moment (μB per cell) = 2.41

Cell lengths 4.468, 4.468, 4.424 Å; angles 80.03, 80.03, 33.75 degrees
Fractional positions:
Ni  0.255  0.255  0.243
Mo  0.499  0.499  0.498
Co  0.744  0.744  0.766
Co  0.003  0.003  0.993

---

Compound: NaScSb2
Source: the Alexandria database
Functional: GGA-PBE
Structure: optimized geometry

- energy relative to the elements, uncorrected (eV per atom) = -0.394
- density (Mg/m³) = 5.2
- total energy (eV/atom) = -4.368
- V (Å³/cell) = 100.07
- polymorph energy (0 for the lowest one) (eV per atom) = 0.100
- symmetry = Fm-3m
- DOS(E_F) (states/eV/f.u.) = 4.3
- total magnetic moment (μB per cell) = 0.00

Cell lengths 5.211, 5.211, 5.211 Å; angles 60.00, 60.00, 60.00 degrees
Fractional positions:
Sb  0.750  0.750  0.750
Sb  0.250  0.250  0.250
Na  0.000  0.000  0.000
Sc  0.500  0.500  0.500

---

Compound: Pa2GaPt
Source: the Alexandria database
Functional: GGA-PBE
Structure: optimized geometry

- density (Mg/m³) = 14.1
- total energy (eV/atom) = -7.520
- energy relative to the elements (eV per atom) = -0.505
- V (Å³/cell) = 85.89
- polymorph energy (0 for the lowest one) (eV per atom) = 0.055
- symmetry = P4/mmm
- DOS(E_F) (states/eV/f.u.) = 5.8
- total magnetic moment (μB per cell) = 0.00

Cell lengths 3.764, 3.764, 6.062 Å; angles 90.00, 90.00, 90.00 degrees
Fractional positions:
Pt  0.500  0.500  0.500
Pa  0.000  0.000  0.244
Pa  0.000  0.000  0.756
Ga  0.500  0.500  0.000

---

Compound: PmBrF
Source: the Alexandria database
Functional: GGA-PBE
Structure: optimized geometry

- energy relative to the elements, uncorrected (eV per atom) = -2.428
- density (Mg/m³) = 6.6
- total energy (eV/atom) = -5.193
- V (Å³/cell) = 61.70
- polymorph energy (0 for the lowest one) (eV per atom) = 0.080
- symmetry = P-6m2
- DOS(E_F) (states/eV/f.u.) = 0.9
- total magnetic moment (μB per cell) = 0.00

Cell lengths 3.808, 4.325, 4.325 Å; angles 120.00, 90.00, 90.00 degrees
Fractional positions:
Pm  0.166  0.667  0.333
F  0.167  0.000  0.000
Br  0.667  0.333  0.667

---

Compound: Sc2FePb
Source: the Alexandria database
Functional: GGA-PBE
Structure: optimized geometry

- density (Mg/m³) = 7.3
- total energy (eV/atom) = -6.437
- energy relative to the elements (eV per atom) = -0.229
- V (Å³/cell) = 80.38
- symmetry = P4/mmm
- DOS(E_F) (states/eV/f.u.) = 2.3
- total magnetic moment (μB per cell) = 0.00

Cell lengths 3.183, 3.183, 7.936 Å; angles 90.00, 90.00, 90.03 degrees
Fractional positions:
Pb  0.500  0.500  0.750
Sc  0.000  0.000  0.439
Sc  0.000  0.000  0.061
Fe  0.500  0.500  0.250

---

Compound: La2TbGe
Source: the Alexandria database
Functional: GGA-PBE
Structure: optimized geometry

- density (Mg/m³) = 7.5
- total energy (eV/atom) = -5.137
- energy relative to the elements (eV per atom) = -0.361
- V (Å³/cell) = 112.11
- polymorph energy (0 for the lowest one) (eV per atom) = 0.000
- symmetry = P4/mmm
- DOS(E_F) (states/eV/f.u.) = 4.9
- total magnetic moment (μB per cell) = 0.00

Cell lengths 4.949, 4.760, 4.760 Å; angles 90.00, 90.00, 90.00 degrees
Fractional positions:
La  0.000  0.500  0.000
La  0.000  0.000  0.500
Ge  0.500  0.000  0.000
Tb  0.500  0.500  0.500

---

Compound: Ag2Se2S3
Source: the Alexandria database
Functional: GGA-PBE
Structure: optimized geometry

- energy relative to the elements, uncorrected (eV per atom) = 0.121
- density (Mg/m³) = 4.5
- total energy (eV/atom) = -3.458
- V (Å³/cell) = 172.71
- symmetry = P-1
- DOS(E_F) (states/eV/f.u.) = 2.4
- total magnetic moment (μB per cell) = 0.00

Cell lengths 4.118, 6.331, 7.650 Å; angles 99.16, 98.73, 115.18 degrees
Fractional positions:
S  0.230  0.406  0.662
S  0.000  0.000  0.000
S  0.770  0.594  0.338
Se  0.428  0.186  0.802
Se  0.572  0.814  0.198
Ag  0.152  0.246  0.327
Ag  0.848  0.754  0.673

---

Compound: TlGeIr
Source: the Alexandria database
Functional: GGA-PBE
Structure: optimized geometry

- density (Mg/m³) = 11.3
- total energy (eV/atom) = -5.174
- energy relative to the elements (eV per atom) = 0.107
- V (Å³/cell) = 138.32
- symmetry = I4/mmm
- DOS(E_F) (states/eV/f.u.) = 1.5
- total magnetic moment (μB per cell) = 0.00

Cell lengths 4.130, 4.130, 8.621 Å; angles 103.86, 103.86, 90.00 degrees
Fractional positions:
Ge  0.091  0.091  0.182
Ge  0.909  0.909  0.818
Tl  0.664  0.664  0.327
Tl  0.336  0.336  0.673
Ir  0.000  0.500  0.000
Ir  0.500  0.000  0.000

---

Compound: U2P2PdN2
Source: the Alexandria database
Functional: GGA-PBE
Structure: optimized geometry

- energy relative to the elements, uncorrected (eV per atom) = -0.745
- density (Mg/m³) = 8.4
- total energy (eV/atom) = -8.636
- V (Å³/cell) = 132.95
- symmetry = P-3m1
- DOS(E_F) (states/eV/f.u.) = 4.6
- total magnetic moment (μB per cell) = 0.00

Cell lengths 3.814, 3.814, 10.553 Å; angles 90.00, 90.00, 120.00 degrees
Fractional positions:
N  0.667  0.333  0.576
N  0.333  0.667  0.424
U  0.333  0.667  0.637
U  0.667  0.333  0.363
Pd  0.000  0.000  0.000
P  0.000  0.000  0.216
P  0.000  0.000  0.784

---

Compound: ZnTe2SI
Source: the Alexandria database
Functional: GGA-PBE
Structure: optimized geometry

- energy relative to the elements, uncorrected (eV per atom) = 0.530
- density (Mg/m³) = 5.1
- total energy (eV/atom) = -2.117
- V (Å³/cell) = 157.16
- polymorph energy (0 for the lowest one) (eV per atom) = 0.000
- symmetry = P4/mmm
- DOS(E_F) (states/eV/f.u.) = 5.8
- total magnetic moment (μB per cell) = 0.00

Cell lengths 5.335, 5.335, 5.522 Å; angles 90.00, 90.00, 90.00 degrees
Fractional positions:
Zn  0.500  0.500  0.500
S  0.000  0.000  0.000
Te  0.500  0.000  0.000
Te  0.000  0.500  0.000
I  0.000  0.000  0.500

---

Compound: BaBrF2
Source: the Alexandria database
Functional: GGA-PBE
Structure: optimized geometry

- energy relative to the elements, uncorrected (eV per atom) = -2.375
- density (Mg/m³) = 4.0
- total energy (eV/atom) = -4.209
- V (Å³/cell) = 210.22
- polymorph energy (0 for the lowest one) (eV per atom) = 0.164
- symmetry = I-42d
- DOS(E_F) (states/eV/f.u.) = 0.0
- total magnetic moment (μB per cell) = 2.00

Cell lengths 5.068, 5.068, 8.934 Å; angles 73.52, 73.52, 90.00 degrees
Fractional positions:
F  0.062  0.625  0.250
F  0.688  0.125  0.250
F  0.875  0.938  0.750
F  0.375  0.312  0.750
Ba  0.750  0.250  0.500
Ba  0.000  0.000  0.000
Br  0.500  0.500  0.000
Br  0.250  0.750  0.500

---

Compound: SrSc
Source: the Alexandria database
Functional: GGA-PBE
Structure: optimized geometry

- density (Mg/m³) = 3.0
- total energy (eV/atom) = -3.812
- energy relative to the elements (eV per atom) = 0.194
- V (Å³/cell) = 146.46
- polymorph energy (0 for the lowest one) (eV per atom) = 0.000
- symmetry = P4/nmm
- DOS(E_F) (states/eV/f.u.) = 3.4
- total magnetic moment (μB per cell) = 0.00

Cell lengths 3.883, 3.883, 9.713 Å; angles 90.00, 90.00, 90.00 degrees
Fractional positions:
Sc  0.500  0.000  0.921
Sc  0.000  0.500  0.079
Sr  0.500  0.000  0.330
Sr  0.000  0.500  0.670

---

Compound: KMg2InAs
Source: the Alexandria database
Functional: GGA-PBE
Structure: optimized geometry

- density (Mg/m³) = 2.6
- total energy (eV/atom) = -1.876
- energy relative to the elements (eV per atom) = 0.459
- V (Å³/cell) = 176.51
- symmetry = P4/mmm
- DOS(E_F) (states/eV/f.u.) = 2.5
- total magnetic moment (μB per cell) = 0.94

Cell lengths 5.350, 6.167, 5.350 Å; angles 90.00, 90.00, 90.00 degrees
Fractional positions:
K  0.000  0.500  0.000
In  0.000  0.000  0.000
Mg  0.500  0.000  0.000
Mg  0.000  0.000  0.500
As  0.500  0.500  0.500

---

Compound: Zr5Co2Rh2
Source: the Alexandria database
Functional: GGA-PBE
Structure: optimized geometry

- density (Mg/m³) = 7.9
- total energy (eV/atom) = -8.408
- energy relative to the elements (eV per atom) = -0.446
- V (Å³/cell) = 329.82
- symmetry = Cmce
- DOS(E_F) (states/eV/f.u.) = 10.1
- total magnetic moment (μB per cell) = 0.00

Cell lengths 6.582, 6.531, 8.349 Å; angles 90.00, 66.79, 90.00 degrees
Fractional positions:
Zr  0.000  0.000  0.000
Zr  0.820  0.816  0.727
Zr  0.500  0.500  0.000
Zr  0.452  0.184  0.727
Zr  0.320  0.684  0.727
Zr  0.180  0.184  0.273
Zr  0.952  0.316  0.727
Zr  0.548  0.816  0.273
Zr  0.048  0.684  0.273
Zr  0.680  0.316  0.273
Co  0.373  0.876  0.000
Co  0.873  0.624  0.000
Co  0.127  0.376  0.000
Co  0.627  0.124  0.000
Rh  0.222  0.000  0.556
Rh  0.778  0.000  0.444
Rh  0.722  0.500  0.556
Rh  0.278  0.500  0.444

---

Compound: In2CoRu
Source: the Alexandria database
Functional: GGA-PBE
Structure: optimized geometry

- density (Mg/m³) = 9.6
- total energy (eV/atom) = -5.270
- energy relative to the elements (eV per atom) = 0.194
- V (Å³/cell) = 67.16
- symmetry = Imm2
- DOS(E_F) (states/eV/f.u.) = 3.0
- total magnetic moment (μB per cell) = 1.88

Cell lengths 5.484, 5.484, 5.484 Å; angles 146.14, 132.47, 59.62 degrees
Fractional positions:
In  0.739  0.239  0.500
In  0.018  0.018  0.000
Co  0.262  0.762  0.500
Ru  0.481  0.481  0.000